1.
The following is a DFT calculation (PBE) of crystalline LiGa2Se at its relaxed geometry.

formation energy from raw total energies: -0.117 eV per atom
crystal system: trigonal

a = 3.6352 Å, b = 3.6352 Å, c = 25.7186 Å
α = 90.00°, β = 90.00°, γ = 120.00°
Space group R-3m (No. 166, hexagonal axes)
Inequivalent atoms, fractional coordinates:
Li (0.0000, 0.0000, 0.0000) [3 per cell]
Ga (0.0000, 0.0000, 0.0994) [6 per cell]
Se (0.0000, 0.0000, 0.5000) [3 per cell]

***

2.
The following is a DFT calculation (PBE) of crystalline Np2U2C3 at its relaxed geometry.

DFT formation energy: 0.07 eV/atom
crystal system: monoclinic

a = 11.017 Å, b = 3.534 Å, c = 6.354 Å
α = 90.00°, β = 115.84°, γ = 90.00°
Space group C2/m (No. 12)
Inequivalent atoms, fractional coordinates:
Np (0.181, 0.000, 0.363) [4 per cell]
U (0.094, 0.500, 0.835) [4 per cell]
C (0.000, 0.000, 0.000) [2 per cell]
C (0.227, 0.000, 0.792) [4 per cell]

***

3.
The following is a DFT calculation (PBE) of crystalline Dy4Sc5Tl2 at its relaxed geometry.

DFT formation energy: 0.25 eV/atom
crystal system: trigonal

a = 4.9788 Å, b = 4.9788 Å, c = 46.1252 Å
α = 90.00°, β = 90.00°, γ = 120.00°
Space group R-3m (No. 166, hexagonal axes)
Inequivalent atoms, fractional coordinates:
Dy (0.0000, 0.0000, 0.0720) [6 per cell]
Dy (0.0000, 0.0000, 0.2221) [6 per cell]
Sc (0.0000, 0.0000, 0.0000) [3 per cell]
Sc (0.0000, 0.0000, 0.1492) [6 per cell]
Sc (0.0000, 0.0000, 0.3019) [6 per cell]
Tl (0.0000, 0.0000, 0.3716) [6 per cell]

***

4.
The following is a DFT calculation (PBE) of crystalline Er3Pb2Au at its relaxed geometry.

DFT formation energy: -0.53 eV/atom
crystal system: orthorhombic
distance to the lowest polymorph of the same formula: 0 meV per atom

a = 12.331 Å, b = 4.566 Å, c = 11.697 Å
α = 90.00°, β = 90.00°, γ = 90.00°
Space group Pnma (No. 62)
Inequivalent atoms, fractional coordinates:
Er (0.049, 0.250, 0.128) [4 per cell]
Er (0.132, 0.750, 0.557) [4 per cell]
Er (0.228, 0.250, 0.800) [4 per cell]
Pb (0.005, 0.250, 0.687) [4 per cell]
Pb (0.181, 0.750, 0.015) [4 per cell]
Au (0.136, 0.250, 0.359) [4 per cell]

***

5.
The following is a DFT calculation (PBE) of crystalline Ca3Sc3AgSe8 at its relaxed geometry.

formation energy from raw total energies: -1.568 eV per atom
crystal system: trigonal

a = 7.9882 Å, b = 7.9882 Å, c = 19.8952 Å
α = 90.00°, β = 90.00°, γ = 120.00°
Space group R-3m (No. 166, hexagonal axes)
Inequivalent atoms, fractional coordinates:
Ca (0.0000, 0.5000, 0.0000) [9 per cell]
Sc (0.0000, 0.5000, 0.5000) [9 per cell]
Ag (0.0000, 0.0000, 0.5000) [3 per cell]
Se (0.0000, 0.0000, 0.2438) [6 per cell]
Se (0.0184, 0.5092, 0.7555) [18 per cell]

***

6.
The following is a DFT calculation (PBE) of crystalline CsTe2Pb at its relaxed geometry.

formation energy from raw total energies: -0.443 eV per atom
crystal system: tetragonal

a = 3.999 Å, b = 3.999 Å, c = 9.447 Å
α = 90.00°, β = 90.00°, γ = 90.00°
Space group P4/mmm (No. 123)
Inequivalent atoms, fractional coordinates:
Cs (0.000, 0.000, 0.000) [1 per cell]
Te (0.500, 0.500, 0.291) [2 per cell]
Pb (0.000, 0.000, 0.500) [1 per cell]

***

7.
The following is a DFT calculation (PBE) of crystalline TlReRu2I at its relaxed geometry.

formation energy from raw total energies: 1.369 eV per atom
crystal system: tetragonal

a = 4.778 Å, b = 4.778 Å, c = 5.457 Å
α = 90.00°, β = 90.00°, γ = 90.00°
Space group P4/mmm (No. 123)
Inequivalent atoms, fractional coordinates:
Tl (0.000, 0.000, 0.000) [1 per cell]
Re (0.000, 0.000, 0.500) [1 per cell]
Ru (0.000, 0.500, 0.500) [2 per cell]
I (0.500, 0.500, 0.000) [1 per cell]

***

8.
The following is a DFT calculation (PBE) of crystalline Ho2Pd6Pt at its relaxed geometry.

DFT formation energy: -0.69 eV/atom
crystal system: orthorhombic

a = 4.215 Å, b = 11.682 Å, c = 12.783 Å
α = 90.00°, β = 90.00°, γ = 90.00°
Space group Fmmm (No. 69)
Inequivalent atoms, fractional coordinates:
Ho (0.000, 0.000, 0.148) [8 per cell]
Pd (0.000, 0.167, 0.330) [16 per cell]
Pd (0.000, 0.175, 0.000) [8 per cell]
Pt (0.000, 0.000, 0.500) [4 per cell]

***

9.
The following is a DFT calculation (PBE) of crystalline TmHgAu at its relaxed geometry.

DFT formation energy: -0.64 eV/atom
crystal system: hexagonal

a = 5.0614 Å, b = 5.0614 Å, c = 6.0394 Å
α = 90.00°, β = 90.00°, γ = 120.00°
Space group P6_3/mmc (No. 194)
Inequivalent atoms, fractional coordinates:
Tm (0.3333, 0.6667, 0.2500) [2 per cell]
Hg (0.0000, 0.0000, 0.0000) [2 per cell]
Au (0.3333, 0.6667, 0.7500) [2 per cell]

***

10.
The following is a DFT calculation (PBE) of crystalline AlOs4Pb at its relaxed geometry.

DFT formation energy: 0.79 eV/atom
crystal system: cubic

a = 7.456 Å, b = 7.456 Å, c = 7.456 Å
α = 90.00°, β = 90.00°, γ = 90.00°
Space group F-43m (No. 216)
Inequivalent atoms, fractional coordinates:
Al (0.000, 0.000, 0.000) [4 per cell]
Os (0.125, 0.125, 0.375) [16 per cell]
Pb (0.250, 0.250, 0.750) [4 per cell]

***

11.
The following is a DFT calculation (PBE) of crystalline AlAg2Br at its relaxed geometry.

formation energy from raw total energies: 0.031 eV per atom
crystal system: orthorhombic
distance to the lowest polymorph of the same formula: 50 meV per atom

a = 3.019 Å, b = 3.335 Å, c = 8.295 Å
α = 90.00°, β = 90.00°, γ = 90.00°
Space group Pmmm (No. 47)
Inequivalent atoms, fractional coordinates:
Al (0.000, 0.000, 0.000) [1 per cell]
Ag (0.500, 0.500, 0.202) [2 per cell]
Br (0.000, 0.500, 0.500) [1 per cell]

***

12.
The following is a DFT calculation (PBE) of crystalline GaAs2HBr at its relaxed geometry.

crystal system: tetragonal
distance to the lowest polymorph of the same formula: 540 meV per atom

a = 5.012 Å, b = 5.012 Å, c = 5.491 Å
α = 90.00°, β = 90.00°, γ = 90.00°
Space group P4/mmm (No. 123)
Inequivalent atoms, fractional coordinates:
Ga (0.000, 0.000, 0.000) [1 per cell]
As (0.000, 0.500, 0.000) [2 per cell]
H (0.500, 0.500, 0.500) [1 per cell]
Br (0.000, 0.000, 0.500) [1 per cell]

***

13.
The following is a DFT calculation (PBE) of crystalline ZrZn2Sn4 at its relaxed geometry.

DFT formation energy: 0.29 eV/atom
crystal system: tetragonal

a = 5.656 Å, b = 5.656 Å, c = 13.257 Å
α = 90.00°, β = 90.00°, γ = 90.00°
Space group I4/mmm (No. 139)
Inequivalent atoms, fractional coordinates:
Zr (0.000, 0.000, 0.000) [2 per cell]
Zn (0.000, 0.000, 0.406) [4 per cell]
Sn (0.000, 0.000, 0.210) [4 per cell]
Sn (0.000, 0.500, 0.000) [4 per cell]

***

Number 1: total DFT energy (no corrections) -35.8 eV per cell. Number 2: total DFT energy (no corrections) -151.2 eV per cell. Number 3: total DFT energy (no corrections) -156.3 eV per cell. Number 4: total DFT energy (no corrections) -110.1 eV per cell. Number 5: total DFT energy (no corrections) -237.7 eV per cell. Number 6: total DFT energy (no corrections) -12.6 eV per cell. Number 7: total DFT energy (no corrections) -28.1 eV per cell. Number 8: total DFT energy (no corrections) -210.3 eV per cell. Number 9: total DFT energy (no corrections) -20.0 eV per cell. Number 10: total DFT energy (no corrections) -190.5 eV per cell. Number 11: total DFT energy (no corrections) -11.0 eV per cell. Number 12: total DFT energy (no corrections) -12.8 eV per cell. Number 13: total DFT energy (no corrections) -50.2 eV per cell.